1) Np2SnS5 (GGA-PBE, relaxed); symmetry = Pbam; calculated density = 7.41 g/cm3; N(E_F) = 31.5 states/eV per cell
1.0
3.823 0.000 0.000
0.000 7.648 0.000
0.000 0.000 11.547
S Np Sn
10 4 2
Direct
0.000 0.822 0.197
0.000 0.500 0.000
0.500 0.328 0.602
0.000 0.178 0.803
0.000 0.678 0.697
0.500 0.672 0.398
0.500 0.828 0.898
0.000 0.000 0.500
0.500 0.172 0.102
0.000 0.322 0.303
0.500 0.529 0.173
0.500 0.471 0.827
0.500 0.029 0.327
0.500 0.971 0.673
0.000 0.000 0.000
0.000 0.500 0.500

=====

2) Np2SnS5 (GGA-PBE, relaxed); symmetry = Cmcm; calculated density = 5.38 g/cm3; N(E_F) = 37.9 states/eV per cell
1.0
5.334 0.000 0.000
-2.667 6.486 0.000
0.000 0.000 13.438
S Np Sn
10 4 2
Direct
0.049 0.098 0.387
0.049 0.098 0.113
0.951 0.902 0.887
0.219 0.437 0.750
0.680 0.359 0.553
0.320 0.641 0.447
0.781 0.563 0.250
0.320 0.641 0.053
0.951 0.902 0.613
0.680 0.359 0.947
0.856 0.711 0.442
0.856 0.711 0.058
0.144 0.289 0.942
0.144 0.289 0.558
0.795 0.589 0.750
0.205 0.411 0.250

=====

Need the numbers? Relative energies in meV/atom: 1) 0; 2) 29.